The following is a DFT calculation (meta-GGA SCAN) of a crystal of FeSiSn3 relaxed with PBEsol.

Cell: 5.0960 5.0960 5.0960 Å, 90.00 90.00 90.00°
Positions (direct):
Fe1 0.0000 0.0000 0.0000
Si1 0.5000 0.5000 0.5000
Sn1 0.0000 0.5000 0.5000
Sn2 0.5000 0.0000 0.5000
Sn3 0.5000 0.5000 0.0000

Summary:
* space group: Pm-3m, No. 221
* formation energy from raw total energies: 5.59 eV per formula unit

---

The following is a DFT calculation (meta-GGA SCAN) of a crystal of SrFeSi3 relaxed with PBEsol.

Cell: 5.2359 5.2359 5.2359 Å, 90.00 90.00 90.00°
Positions (direct):
Sr1 0.0000 0.0000 0.0000
Fe1 0.5000 0.5000 0.5000
Si1 0.0000 0.0000 0.5000
Si2 0.0000 0.5000 0.0000
Si3 0.5000 0.0000 0.0000

Summary:
* space group: Pm-3m, No. 221
* formation energy from raw total energies: 11.71 eV per formula unit

---

The following is a DFT calculation (meta-GGA SCAN) of a crystal of SrFe2Si relaxed with PBEsol.

Cell: 5.8957 5.8957 5.8957 Å, 39.11 39.11 39.11°
Positions (direct):
Sr1 0.0000 0.0000 0.0000
Fe1 0.4956 0.4956 0.4956
Fe2 0.8111 0.8111 0.8111
Si1 0.1874 0.1874 0.1874

Summary:
* space group: R3m, No. 160
* formation energy from raw total energies: -0.27 eV per formula unit

---

The following is a DFT calculation (meta-GGA SCAN) of a crystal of Sr2FeSi relaxed with PBEsol.

Cell: 9.4761 9.4761 9.4761 Å, 22.67 22.67 22.67°
Positions (direct):
Sr1 0.2493 0.2493 0.2493
Sr2 0.7507 0.7507 0.7507
Fe1 0.0000 0.0000 0.0000
Si1 0.5000 0.5000 0.5000

Summary:
* space group: R-3m, No. 166
* formation energy from raw total energies: 2.36 eV per formula unit

---

The following is a DFT calculation (meta-GGA SCAN) of a crystal of SrFe4Si relaxed with PBEsol.

Cell: 4.9143 4.9143 4.9143 Å, 60.00 60.00 60.00°
Positions (direct):
Sr1 0.0000 0.0000 0.0000
Fe1 0.1307 0.6231 0.6231
Fe2 0.6231 0.1307 0.6231
Fe3 0.6231 0.6231 0.1307
Fe4 0.6231 0.6231 0.6231
Si1 0.2500 0.2500 0.2500

Summary:
* space group: F-43m, No. 216
* formation energy from raw total energies: 2.78 eV per formula unit

---

The following is a DFT calculation (meta-GGA SCAN) of a crystal of Sr2ZnFeSi relaxed with PBEsol.

Cell: 5.6763 5.6763 4.4631 Å, 90.00 90.00 90.00°
Positions (direct):
Sr1 0.0000 0.5000 0.0000
Sr2 0.5000 0.0000 0.0000
Zn1 0.0000 0.0000 0.0000
Fe1 0.0000 0.0000 0.5000
Si1 0.5000 0.5000 0.5000

Summary:
* space group: P4/mmm, No. 123
* formation energy from raw total energies: 2.30 eV per formula unit

---

The following is a DFT calculation (meta-GGA SCAN) of a crystal of Ta2FeSi relaxed with PBEsol.

Cell: 3.7401 5.0463 5.0463 Å, 37.50 90.00 90.00°
Positions (direct):
Ta1 0.0000 0.0000 0.0000
Ta2 0.5000 0.3048 0.3048
Fe1 0.0000 0.7317 0.7317
Si1 0.5000 0.5805 0.5805

Summary:
* space group: Amm2, No. 38
* formation energy from raw total energies: -1.20 eV per formula unit

---

The following is a DFT calculation (meta-GGA SCAN) of a crystal of TaFe2Si relaxed with PBEsol.

Cell: 3.9136 3.9136 3.1605 Å, 90.00 90.00 90.00°
Positions (direct):
Ta1 0.0000 0.0000 0.0000
Fe1 0.0000 0.5000 0.5000
Fe2 0.5000 0.0000 0.5000
Si1 0.5000 0.5000 0.0000

Summary:
* space group: P4/mmm, No. 123
* formation energy from raw total energies: -0.84 eV per formula unit